Entry 1:
# TbCdAu2

Crystalline TbCdAu2 at its relaxed geometry (GGA-PBE, OQMD via LeMat-Bulk).

The structure in POSCAR format:
```
TbCdAu2
1.0
3.3135 -5.2705 0.0000
3.3135 5.2705 0.0000
0.0000 0.0000 4.9172
Tb Cd Au
2 2 4
Direct
0.1469 0.8531 0.7500
0.8531 0.1469 0.2500
0.3534 0.6466 0.2500
0.6466 0.3534 0.7500
0.1625 0.3525 0.7500
0.3525 0.1625 0.2500
0.6475 0.8375 0.7500
0.8375 0.6475 0.2500
```

Summary:
ΔH_f (0 K) = -0.626 eV per atom
E = -29.120 eV for the cell shown
spin magnetization = 0.00 μB per formula unit
V = 21.5 Å³ per atom


Entry 2:
# BePPtO

Crystalline BePPtO at its relaxed geometry (GGA-PBE, OQMD via LeMat-Bulk).

The structure in POSCAR format:
```
BePPtO
1.0
2.8238 0.0000 0.0000
0.0000 6.7372 0.0000
0.0000 0.0000 5.6353
Be P Pt O
2 2 2 2
Direct
0.0000 0.1842 0.0000
0.0000 0.8158 0.5000
0.0000 0.4808 0.4818
0.0000 0.5192 0.9818
0.5000 0.2227 0.4836
0.5000 0.7773 0.9836
0.5000 0.0952 0.9858
0.5000 0.9048 0.4858
```

Summary:
E = -47.428 eV for the cell shown
spin magnetization = 0.00 μB per formula unit
V = 13.4 Å³ per atom
energy above the most stable polymorph in this dataset = 49 meV per atom


Entry 3:
# BeFeCuBi

Crystalline BeFeCuBi at its relaxed geometry (GGA-PBE, OQMD via LeMat-Bulk).

The structure in POSCAR format:
```
BeFeCuBi
1.0
0.0000 3.0653 3.0653
3.0653 0.0000 3.0653
3.0653 3.0653 0.0000
Be Fe Cu Bi
1 1 1 1
Direct
0.0000 0.0000 0.0000
0.7500 0.7500 0.7500
0.2500 0.2500 0.2500
0.5000 0.5000 0.5000
```

Summary:
E = -17.360 eV for the cell shown
spin magnetization = 1.60 μB per formula unit
V = 14.4 Å³ per atom
energy above the most stable polymorph in this dataset = 0 meV per atom


Entry 4:
# YHo2Al3CuSn2

Crystalline YHo2Al3CuSn2 at its relaxed geometry (GGA-PBE, OQMD via LeMat-Bulk).

The structure in POSCAR format:
```
YHo2Al3CuSn2
1.0
4.2719 0.0000 0.0000
0.0000 6.3143 3.6384
0.0000 -6.3143 3.6384
Y Ho Al Cu Sn
1 2 3 1 2
Direct
0.0000 0.0000 0.0000
0.0000 0.2254 0.6126
0.0000 0.6126 0.2254
0.5000 0.3885 0.3885
0.5000 0.6121 0.8351
0.5000 0.8351 0.6121
0.0000 0.6095 0.6095
0.5000 0.2801 0.9453
0.5000 0.9453 0.2801
```

Summary:
E = -43.534 eV for the cell shown
spin magnetization = 0.00 μB per formula unit
V = 21.8 Å³ per atom


Entry 5:
# BaCu2As4

Crystalline BaCu2As4 at its relaxed geometry (GGA-PBE, OQMD via LeMat-Bulk).

The structure in POSCAR format:
```
BaCu2As4
1.0
0.0000 4.4832 11.1803
3.2903 0.0000 11.1803
3.2903 4.4832 0.0000
Ba Cu As
2 4 8
Direct
0.1250 0.1250 0.1250
0.8750 0.8750 0.8750
0.0352 0.0352 0.7148
0.2852 0.2852 0.9648
0.7148 0.7148 0.0352
0.9648 0.9648 0.2852
0.1094 0.4960 0.3792
0.3792 0.5154 0.1094
0.4846 0.6208 0.5040
0.4960 0.1094 0.5154
0.5040 0.8906 0.4846
0.5154 0.3792 0.4960
0.6208 0.4846 0.8906
0.8906 0.5040 0.6208
```

Summary:
E = -59.102 eV for the cell shown
V = 23.6 Å³ per atom


Entry 6:
# ErPSe3S

Crystalline ErPSe3S at its relaxed geometry (GGA-PBE, OQMD via LeMat-Bulk).

The structure in POSCAR format:
```
ErPSe3S
1.0
6.6662 0.0000 0.0000
1.1467 6.7751 0.0000
0.3266 0.1727 7.9591
Er P Se S
2 2 6 2
Direct
0.2100 0.1979 0.0547
0.7900 0.8021 0.9453
0.3133 0.7613 0.8169
0.6867 0.2387 0.1831
0.0755 0.0229 0.7559
0.1285 0.5185 0.7947
0.4126 0.2710 0.3457
0.5874 0.7290 0.6543
0.8715 0.4815 0.2053
0.9245 0.9771 0.2441
0.3921 0.7897 0.0638
0.6079 0.2103 0.9362
```

Summary:
E = -59.644 eV for the cell shown
spin magnetization = 0.00 μB per formula unit
V = 30.0 Å³ per atom
energy above the most stable polymorph in this dataset = 4 meV per atom


Entry 7:
# LaFeGe

Crystalline LaFeGe at its relaxed geometry (GGA-PBE, OQMD via LeMat-Bulk).

The structure in POSCAR format:
```
LaFeGe
1.0
0.0000 3.2093 3.2093
3.2093 0.0000 3.2093
3.2093 3.2093 0.0000
La Fe Ge
1 1 1
Direct
0.0000 0.0000 0.0000
0.7500 0.7500 0.7500
0.5000 0.5000 0.5000
```

Summary:
E = -18.237 eV for the cell shown
spin magnetization = 2.95 μB per formula unit
V = 22.0 Å³ per atom


Entry 8:
# Li2U2Te

Crystalline Li2U2Te at its relaxed geometry (GGA-PBE, OQMD via LeMat-Bulk).

The structure in POSCAR format:
```
Li2U2Te
1.0
3.8559 0.0000 0.0000
0.0000 11.5870 0.0000
0.0000 0.0000 4.9112
Li U Te
4 4 2
Direct
0.0013 0.1570 0.0000
0.4987 0.6570 0.0000
0.5013 0.3430 0.0000
0.9987 0.8430 0.0000
0.0002 0.3201 0.5000
0.9998 0.6799 0.5000
0.5002 0.1799 0.5000
0.4998 0.8201 0.5000
0.0000 0.5000 0.0000
0.5000 0.0000 0.0000
```

Summary:
E = -58.798 eV for the cell shown
spin magnetization = 3.54 μB per formula unit
V = 21.9 Å³ per atom


Entry 9:
# ScUAs

Crystalline ScUAs at its relaxed geometry (GGA-PBE, OQMD via LeMat-Bulk).

The structure in POSCAR format:
```
ScUAs
1.0
0.0000 3.4219 3.4219
3.4219 0.0000 3.4219
3.4219 3.4219 0.0000
Sc U As
1 1 1
Direct
0.0000 0.0000 0.0000
0.7500 0.7500 0.7500
0.5000 0.5000 0.5000
```

Summary:
E = -20.756 eV for the cell shown
spin magnetization = 5.76 μB per formula unit
V = 26.7 Å³ per atom


Entry 10:
# HoN2

Crystalline HoN2 at its relaxed geometry (GGA-PBE, OQMD via LeMat-Bulk).

The structure in POSCAR format:
```
HoN2
1.0
5.1240 0.0000 0.0000
0.0000 5.1240 0.0000
0.0000 0.0000 3.7608
Ho N
2 4
Direct
0.0000 0.0000 0.0000
0.5000 0.5000 0.5000
0.1854 0.1854 0.5000
0.3146 0.6854 0.0000
0.6854 0.3146 0.0000
0.8146 0.8146 0.5000
```

Summary:
E = -39.423 eV for the cell shown
spin magnetization = 2.99 μB per formula unit
V = 16.5 Å³ per atom


Entry 11:
# YHoFe2Ge4

Crystalline YHoFe2Ge4 at its relaxed geometry (GGA-PBE, OQMD via LeMat-Bulk).

The structure in POSCAR format:
```
YHoFe2Ge4
1.0
4.1882 0.0000 0.0000
0.0000 2.0709 8.3161
0.0000 -2.0709 8.3161
Y Ho Fe Ge
1 1 2 4
Direct
0.0000 0.0000 0.0000
0.5000 0.2191 0.2191
0.0000 0.7901 0.7901
0.5000 0.4280 0.4280
0.0000 0.3594 0.3594
0.0000 0.6544 0.6544
0.5000 0.5642 0.5642
0.5000 0.8582 0.8582
```

Summary:
E = -49.875 eV for the cell shown
spin magnetization = 0.93 μB per formula unit
V = 18.0 Å³ per atom


Entry 12:
# NiTeCl

Crystalline NiTeCl at its relaxed geometry (GGA-PBE, OQMD via LeMat-Bulk).

The structure in POSCAR format:
```
NiTeCl
1.0
3.5020 0.0000 0.0000
-1.7510 3.0328 0.0000
0.0000 0.0000 6.0549
Ni Te Cl
1 1 1
Direct
0.0000 0.0000 0.0000
0.3333 0.6667 0.2578
0.6667 0.3333 0.7796
```

Summary:
E = -11.529 eV for the cell shown
spin magnetization = 0.00 μB per formula unit
V = 21.4 Å³ per atom


Entry 13:
# ZrGe2Te

Crystalline ZrGe2Te at its relaxed geometry (GGA-PBE, OQMD via LeMat-Bulk).

The structure in POSCAR format:
```
ZrGe2Te
1.0
0.0000 3.5283 3.5283
3.5283 0.0000 3.5283
3.5283 3.5283 0.0000
Zr Ge Te
1 2 1
Direct
0.0000 0.0000 0.0000
0.2500 0.2500 0.2500
0.5000 0.5000 0.5000
0.7500 0.7500 0.7500
```

Summary:
E = -20.652 eV for the cell shown
spin magnetization = 0.01 μB per formula unit
V = 22.0 Å³ per atom


Entry 14:
# NaFeCoTe3

Crystalline NaFeCoTe3 at its relaxed geometry (GGA-PBE, OQMD via LeMat-Bulk).

The structure in POSCAR format:
```
NaFeCoTe3
1.0
7.9970 0.0000 0.0000
0.0000 3.7830 0.0000
-3.6230 0.0000 9.1300
Na Fe Co Te
2 2 2 6
Direct
0.2483 0.2500 0.2857
0.7517 0.7500 0.7143
0.0649 0.2500 0.5926
0.9351 0.7500 0.4074
0.3155 0.7500 0.8411
0.6845 0.2500 0.1589
0.1016 0.2500 0.8651
0.2794 0.7500 0.5660
0.4543 0.7500 0.1218
0.5457 0.2500 0.8782
0.7206 0.2500 0.4340
0.8984 0.7500 0.1349
```

Summary:
E = -55.268 eV for the cell shown
spin magnetization = 3.13 μB per formula unit
V = 23.0 Å³ per atom


Entry 15:
# Zr2Mo

Crystalline Zr2Mo at its relaxed geometry (GGA-PBE, OQMD via LeMat-Bulk).

The structure in POSCAR format:
```
Zr2Mo
1.0
5.6640 0.0000 0.0000
-2.8320 4.9051 0.0000
0.0000 0.0000 17.5285
Zr Mo
16 8
Direct
0.0000 0.5000 0.0000
0.0000 0.5000 0.5000
0.1570 0.3139 0.2500
0.1570 0.8430 0.2500
0.3139 0.1570 0.7500
0.3333 0.6667 0.1282
0.3333 0.6667 0.3718
0.5000 0.0000 0.0000
0.5000 0.0000 0.5000
0.5000 0.5000 0.0000
0.5000 0.5000 0.5000
0.6667 0.3333 0.6282
0.6667 0.3333 0.8718
0.6861 0.8430 0.2500
0.8430 0.1570 0.7500
0.8430 0.6861 0.7500
0.0000 0.0000 0.0899
0.0000 0.0000 0.4101
0.0000 0.0000 0.5899
0.0000 0.0000 0.9101
0.3333 0.6667 0.6555
0.3333 0.6667 0.8445
0.6667 0.3333 0.1555
0.6667 0.3333 0.3445
```

Summary:
ΔH_f (0 K) = 0.664 eV per atom
E = -207.612 eV for the cell shown
spin magnetization = 0.00 μB per formula unit
V = 20.3 Å³ per atom
energy above the most stable polymorph in this dataset = 647 meV per atom


Entry 16:
# Y4GaNiN2

Crystalline Y4GaNiN2 at its relaxed geometry (GGA-PBE, OQMD via LeMat-Bulk).

The structure in POSCAR format:
```
Y4GaNiN2
1.0
3.5177 0.0000 0.0000
-1.7588 3.0464 0.0000
0.0000 0.0000 14.1538
Y Ga Ni N
4 1 1 2
Direct
0.0000 0.0000 0.1383
0.0000 0.0000 0.8617
0.3333 0.6667 0.3322
0.3333 0.6667 0.6678
0.0000 0.0000 0.5000
0.3333 0.6667 0.0000
0.6667 0.3333 0.2405
0.6667 0.3333 0.7595
```

Summary:
E = -58.452 eV for the cell shown
spin magnetization = 0.51 μB per formula unit
V = 19.0 Å³ per atom


Entry 17:
# Hf2Zr4Cd3N3

Crystalline Hf2Zr4Cd3N3 at its relaxed geometry (GGA-PBE, OQMD via LeMat-Bulk).

The structure in POSCAR format:
```
Hf2Zr4Cd3N3
1.0
4.9495 -2.8584 0.0000
4.9495 2.8584 0.0000
-3.2985 0.0000 14.7676
Hf Zr Cd N
4 8 6 6
Direct
0.0264 0.8567 0.5795
0.1433 0.9736 0.9205
0.8567 0.0264 0.0795
0.9736 0.1433 0.4205
0.1946 0.3644 0.0833
0.3088 0.4687 0.4167
0.3644 0.1946 0.5833
0.4687 0.3088 0.9167
0.5313 0.6912 0.0833
0.6356 0.8054 0.4167
0.6912 0.5313 0.5833
0.8054 0.6356 0.9167
0.0821 0.2413 0.7493
0.2413 0.0821 0.2493
0.4062 0.5938 0.7500
0.5938 0.4062 0.2500
0.7587 0.9179 0.7507
0.9179 0.7587 0.2507
0.0000 0.5000 0.5000
0.1614 0.6771 0.0000
0.3229 0.8386 0.5000
0.5000 0.0000 0.0000
0.6771 0.1614 0.5000
0.8386 0.3229 0.0000
```

Summary:
E = -186.455 eV for the cell shown
spin magnetization = 0.01 μB per formula unit
V = 17.4 Å³ per atom


Entry 18:
# LiBeIn2Cu4

Crystalline LiBeIn2Cu4 at its relaxed geometry (GGA-PBE, OQMD via LeMat-Bulk).

The structure in POSCAR format:
```
LiBeIn2Cu4
1.0
4.2928 0.0000 0.0000
0.0000 4.2928 0.0000
0.0000 0.0000 6.0836
Li Be In Cu
1 1 2 4
Direct
0.0000 0.0000 0.0000
0.5000 0.5000 0.5000
0.0000 0.0000 0.5000
0.5000 0.5000 0.0000
0.0000 0.5000 0.2614
0.0000 0.5000 0.7386
0.5000 0.0000 0.2614
0.5000 0.0000 0.7386
```

Summary:
E = -25.754 eV for the cell shown
V = 14.0 Å³ per atom


Entry 19:
# BaNpIn

Crystalline BaNpIn at its relaxed geometry (GGA-PBE, OQMD via LeMat-Bulk).

The structure in POSCAR format:
```
BaNpIn
1.0
0.0000 3.7835 3.7835
3.7835 0.0000 3.7835
3.7835 3.7835 0.0000
Ba Np In
1 1 1
Direct
0.0000 0.0000 0.0000
0.2500 0.2500 0.2500
0.7500 0.7500 0.7500
```

Summary:
E = -14.502 eV for the cell shown
spin magnetization = 4.39 μB per formula unit
V = 36.1 Å³ per atom
energy above the most stable polymorph in this dataset = 376 meV per atom


Entry 20:
# SrErTm

Crystalline SrErTm at its relaxed geometry (GGA-PBE, OQMD via LeMat-Bulk).

The structure in POSCAR format:
```
SrErTm
1.0
0.0000 4.0295 4.0295
4.0295 0.0000 4.0295
4.0295 4.0295 0.0000
Sr Er Tm
1 1 1
Direct
0.0000 0.0000 0.0000
0.5000 0.5000 0.5000
0.7500 0.7500 0.7500
```

Summary:
E = -8.261 eV for the cell shown
spin magnetization = 0.00 μB per formula unit
V = 43.6 Å³ per atom
energy above the most stable polymorph in this dataset = 0 meV per atom